Record 1
Here is an optimized crystal structure of YAlGeO5 from Alexandria. Energies are from GGA-PBE.

```
YAlGeO5
1.0
-4.724 -2.726 -0.681
3.996 -3.749 -0.426
-0.012 1.578 6.743
Y Al Ge O
2 2 2 10
Cartesian
1.207 -3.028 1.179
-1.946 -1.870 4.458
-0.006 0.789 3.371
0.000 0.000 0.000
-1.900 -2.663 1.088
1.161 -2.234 4.549
3.374 -3.282 1.242
-4.113 -1.615 4.394
-2.981 -3.473 -0.059
2.242 -1.425 5.696
-2.829 -1.618 2.176
2.089 -3.279 3.461
-0.944 -3.725 2.122
0.204 -1.172 3.515
-0.666 -1.858 0.118
-0.073 -3.039 5.519
```

Results
Energy relative to the elements, uncorrected, eV/atom: -2.682
Volume, Å³/cell: 185.4
Energy relative to the lowest polymorph listed for this composition, kJ per mole of atoms: 5.4



Record 2
Here is an optimized crystal structure of YAlGeO5 from Alexandria. Energies are from GGA-PBE.

```
YAlGeO5
1.0
-2.026 -2.479 4.684
-2.018 -5.830 -3.958
7.514 -3.536 1.378
Y Al Ge O
4 4 4 20
Cartesian
1.730 -3.234 -0.964
3.766 -6.132 -1.616
-0.422 -5.611 -3.152
5.918 -3.755 0.573
-1.515 -3.534 -0.810
2.236 -3.629 4.204
-2.529 -4.775 1.536
3.251 -2.387 1.858
-0.172 -2.451 2.065
3.642 -9.394 0.040
0.408 -6.114 0.377
3.062 -5.731 1.727
-0.285 -2.166 -1.269
5.781 -7.200 -1.311
1.664 -6.472 -2.706
3.832 -2.894 0.126
-1.192 -3.506 1.065
4.662 -8.340 1.039
0.515 -7.699 -0.416
2.955 -4.147 2.520
1.433 -2.261 1.164
3.037 -8.361 -1.371
-1.138 -6.135 1.393
3.608 -6.934 3.023
2.037 -9.585 0.941
0.433 -3.484 3.476
4.608 -5.710 0.711
-0.138 -4.911 -0.919
-0.578 -0.707 1.336
1.300 -6.455 2.059
-1.448 -1.772 3.349
2.170 -5.390 0.046
```

Results
Energy relative to the elements, uncorrected, eV/atom: -2.738
Volume, Å³/cell: 350.1
Energy relative to the lowest polymorph listed for this composition, kJ per mole of atoms: 0.0



Record 3
Here is an optimized crystal structure of Al2ZnGeO from Alexandria. Energies are from GGA-PBE.

```
Al2ZnGeO
1.0
5.125 0.000 0.000
0.000 3.730 0.000
0.000 0.000 5.125
Ge Zn O Al
1 1 1 2
Cartesian
0.000 0.000 0.000
2.563 1.865 2.563
0.000 1.865 0.000
0.000 0.000 2.563
2.563 0.000 0.000
```

Results
Energy relative to the elements, uncorrected, eV/atom: 0.205
Volume, Å³/cell: 98.0



Record 4
Here is an optimized crystal structure of ZrAlGeO2 from Alexandria. Energies are from GGA-PBE.

```
ZrAlGeO2
1.0
4.049 0.000 0.000
0.000 5.872 0.000
0.000 0.000 4.049
O Ge Al Zr
2 1 1 1
Cartesian
0.000 0.000 2.025
2.025 0.000 0.000
0.000 2.936 0.000
2.025 2.936 2.025
0.000 0.000 0.000
```

Results
Energy relative to the elements, uncorrected, eV/atom: -1.207
Volume, Å³/cell: 96.3